Crystalline Ba2SrCo at its relaxed geometry, computed with PBE.

Lattice parameters (Å, degrees): 7.0114 7.0114 7.0114 135.81 135.81 64.28
Closest atoms and distances in Å follow each position.
Atoms (fractional coordinates):
Ba (0.0000, 0.0000, 0.0000)  4 Sr 3.73, 4 Ba 3.97, 4 Co 3.97
Ba (0.7500, 0.2500, 0.5000)  4 Co 3.73, 4 Ba 3.97, 4 Sr 3.97
Sr (0.5000, 0.5000, 0.0000)  8 Ba 3.73-3.97, 4 Co 3.97
Co (0.2500, 0.7500, 0.5000)  8 Ba 3.73-3.97, 4 Sr 3.97

## Properties
DFT formation energy ... 0.63 eV/atom
Space group ... No. 119

---

Crystalline Ba2SrCo at its relaxed geometry, computed with PBE.

Lattice parameters (Å, degrees): 7.7658 7.7658 7.7658 150.66 133.36 56.06
Closest atoms and distances in Å follow each position.
Atoms (fractional coordinates):
Ba (0.1674, 0.1674, 0.0000)  2 Co 3.02
Ba (0.8326, 0.8326, 0.0000)  2 Co 3.02
Sr (0.5000, 0.0000, 0.5000)  4 Co 3.65, 4 Ba 3.84, 2 Sr 3.93
Co (0.0000, 0.5000, 0.5000)  4 Ba 3.02

## Properties
DFT formation energy ... 0.37 eV/atom
Space group ... No. 71

---

Crystalline Ba2SrCo at its relaxed geometry, computed with PBE.

Lattice parameters (Å, degrees): 7.5816 7.5816 7.5816 149.38 130.35 59.47
Closest atoms and distances in Å follow each position.
Atoms (fractional coordinates):
Ba (0.0000, 0.0000, 0.0000)  2 Co 3.03
Ba (0.6726, 0.1726, 0.5000)  4 Co 3.76, 2 Sr 3.91, 4 Ba 3.91-4.00
Sr (0.3450, 0.3450, 0.0000)  2 Co 3.03
Co (0.1725, 0.6725, 0.5000)  2 Ba 3.03, 2 Sr 3.03

## Properties
DFT formation energy ... 0.37 eV/atom
Space group ... No. 44

---

Crystalline BaSr3Co at its relaxed geometry, computed with PBE.

Lattice parameters (Å, degrees): 6.0065 6.0065 6.0065 90.00 90.00 90.00
Closest atoms and distances in Å follow each position.
Atoms (fractional coordinates):
Ba (0.0000, 0.0000, 0.0000)  12 Sr 4.25
Sr (0.0000, 0.5000, 0.5000)  2 Co 3.00
Sr (0.5000, 0.0000, 0.5000)  2 Co 3.00
Sr (0.5000, 0.5000, 0.0000)  2 Co 3.00
Co (0.5000, 0.5000, 0.5000)  6 Sr 3.00

## Properties
DFT formation energy ... 0.23 eV/atom
Space group ... No. 221

---

Crystalline Ba2SrCo at its relaxed geometry, computed with PBE.

Lattice parameters (Å, degrees): 5.9929 5.9929 5.9929 60.00 60.00 60.00
Closest atoms and distances in Å follow each position.
Atoms (fractional coordinates):
Ba (0.0000, 0.0000, 0.0000)  4 Ba 3.67, 4 Co 3.67
Ba (0.2500, 0.2500, 0.2500)  4 Ba 3.67, 4 Sr 3.67
Sr (0.5000, 0.5000, 0.5000)  4 Co 3.67, 4 Ba 3.67
Co (0.7500, 0.7500, 0.7500)  4 Sr 3.67, 4 Ba 3.67

## Properties
DFT formation energy ... 0.63 eV/atom
Space group ... No. 216

---

Crystalline Ba2SrCo at its relaxed geometry, computed with PBE.

Lattice parameters (Å, degrees): 4.3491 7.4770 7.4770 49.39 90.00 90.00
Closest atoms and distances in Å follow each position.
Atoms (fractional coordinates):
Ba (0.0000, 0.0000, 0.0000)  2 Co 3.13
Ba (0.5000, 0.3451, 0.3451)  2 Co 2.97
Sr (0.5000, 0.6413, 0.6413)  2 Co 2.96
Co (0.0000, 0.4937, 0.4937)  2 Sr 2.96, 4 Ba 2.97-3.13

## Properties
DFT formation energy ... 0.31 eV/atom
Space group ... No. 38